(1)
DFT (PBE) results for crystalline Mn2PPd at its relaxed geometry.

Cell: 6.699 6.699 4.994 Å, 90.00 90.00 90.00°
Element x y z (fractional)
Mn1 0.206 0.250 0.125
Mn2 0.250 0.706 0.375
Mn3 0.250 0.794 0.875
Mn4 0.294 0.250 0.625
Mn5 0.706 0.750 0.625
Mn6 0.750 0.206 0.875
Mn7 0.750 0.294 0.375
Mn8 0.794 0.750 0.125
P1 0.000 0.000 0.000
P2 0.000 0.500 0.250
P3 0.500 0.000 0.750
P4 0.500 0.500 0.500
Pd1 0.000 0.000 0.500
Pd2 0.000 0.500 0.750
Pd3 0.500 0.000 0.250
Pd4 0.500 0.500 0.000

E_form (eV per atom): -0.022
Final energy (eV/atom): -7.257
V (Å³ per atom): 14.01
Space-group type: I-42d, No. 122
Magnetic moment (μB per formula unit): 5.038

(2)
DFT (PBE) results for crystalline LaErMg2Hg4 at its relaxed geometry.

Cell: 9.006 9.006 9.006 Å, 33.06 33.06 33.06°
Element x y z (fractional)
La1 0.000 0.000 0.000
Er1 0.500 0.500 0.500
Mg1 0.248 0.248 0.248
Mg2 0.752 0.752 0.752
Hg1 0.129 0.129 0.129
Hg2 0.381 0.381 0.381
Hg3 0.619 0.619 0.619
Hg4 0.871 0.871 0.871

E_form (eV per atom): -0.463
Final energy (eV/atom): -2.198
V (Å³ per atom): 24.19
Space-group type: R-3m, No. 166
Magnetic moment (μB per formula unit): 0.000

(3)
DFT (PBE) results for crystalline BiPtBr6 at its relaxed geometry.

Cell: 8.533 11.802 7.013 Å, 90.00 119.62 90.00°
Element x y z (fractional)
Bi1 0.000 0.000 0.000
Bi2 0.500 0.500 0.000
Pt1 0.000 0.000 0.500
Pt2 0.500 0.500 0.500
Br1 0.145 0.156 0.807
Br2 0.145 0.844 0.807
Br3 0.221 0.500 0.542
Br4 0.279 0.000 0.458
Br5 0.355 0.344 0.193
Br6 0.355 0.656 0.193
Br7 0.645 0.344 0.807
Br8 0.645 0.656 0.807
Br9 0.721 0.000 0.542
Br10 0.779 0.500 0.458
Br11 0.855 0.156 0.193
Br12 0.855 0.844 0.193

Final energy (eV/atom): -2.920
V (Å³ per atom): 38.37
Space-group type: C2/m, No. 12
Magnetic moment (μB per formula unit): 0.000